Computed, not measured: a geometry-optimized BaEr2Mg structure at the GGA-PBE level of DFT.

Values from the calculation:
**Relative energy among the computed polymorphs**: 0.0000 eV/atom
**Crystal system**: tetragonal
**Final energy**: -3.04 eV/atom
**Energy of formation**: 0.122 eV per atom
**M_tot**: 0.00 μB/cell

```
data_BaEr2Mg
_cell_length_a 3.818
_cell_length_b 3.818
_cell_length_c 9.536
_cell_angle_alpha 90.00
_cell_angle_beta 90.00
_cell_angle_gamma 90.00
_space_group_name_H-M_alt 'P 4/m m m'
_space_group_IT_number 123
_space_group_name_Hall '-P 4 2'
loop_
_atom_site_label
_atom_site_type_symbol
_atom_site_fract_x
_atom_site_fract_y
_atom_site_fract_z
Ba1 Ba 0.000 0.000 0.000
Er1 Er 0.500 0.500 0.314
Mg1 Mg 0.000 0.000 0.500
```